(1)
# SrPmSm2S4, relaxed, DFT GGA-PBE
# Calculated volume (Å³/f.u.): 190.6
# M_tot (μB/f.u.): 0.0
# Energy (eV per cell): -48.599
# Theoretical density (Mg/m³): 5.764
data_SrPmSm2S4
_chemical_formula_sum 'Sr1 Pm1 Sm2 S4'
_cell_length_a 7.059
_cell_length_b 4.046
_cell_length_c 7.062
_cell_angle_alpha 90.00
_cell_angle_beta 109.10
_cell_angle_gamma 90.00
_space_group_name_H-M_alt 'P 1 2/m 1'
_space_group_IT_number 10
loop_
_space_group_symop_operation_xyz
'x,y,z'
'-x,-y,-z'
'-x,y,-z'
'x,-y,z'
loop_
_atom_site_label
_atom_site_fract_x
_atom_site_fract_y
_atom_site_fract_z
Sr1 0.000 0.000 0.000
Pm1 0.000 0.500 0.500
Sm1 0.500 0.000 0.500
Sm2 0.500 0.500 0.000
S1 0.255 0.000 0.748
S2 0.259 0.500 0.257

(2)
# ReCI2, relaxed, DFT GGA-PBE
# Calculated volume (Å³/f.u.): 97.3
# M_tot (μB/f.u.): 0.0
# Energy relative to the lowest polymorph listed for this composition (eV per atom): 0.000
# Theoretical density (Mg/m³): 7.715
data_ReCI2
_chemical_formula_sum 'Re4 C4 I8'
_cell_length_a 6.256
_cell_length_b 6.256
_cell_length_c 9.943
_cell_angle_alpha 90.00
_cell_angle_beta 90.00
_cell_angle_gamma 90.00
_space_group_name_H-M_alt 'I -4 2 d'
_space_group_IT_number 122
_space_group_name_Hall 'I -4 2bw'
loop_
_atom_site_label
_atom_site_fract_x
_atom_site_fract_y
_atom_site_fract_z
Re1 0.000 0.000 0.000
C1 0.000 0.000 0.500
I1 0.240 0.250 0.625

(3)
# Tm2Pd5Au12, relaxed, DFT GGA-PBE
# Calculated volume (Å³/f.u.): 359.0
# M_tot (μB/f.u.): 0.0
# Energy (eV per cell): -159.854
# Theoretical density (Mg/m³): 14.956
data_Tm2Pd5Au12
_chemical_formula_sum 'Tm4 Pd10 Au24'
_cell_length_a 12.361
_cell_length_b 8.663
_cell_length_c 6.769
_cell_angle_alpha 90.00
_cell_angle_beta 97.89
_cell_angle_gamma 90.00
_space_group_name_H-M_alt 'C 1 2/m 1'
_space_group_IT_number 12
loop_
_space_group_symop_operation_xyz
'x,y,z'
'-x,-y,-z'
'-x,y,-z'
'x,-y,z'
'x+1/2,y+1/2,z'
'-x+1/2,-y+1/2,-z'
'-x+1/2,y+1/2,-z'
'x+1/2,-y+1/2,z'
loop_
_atom_site_label
_atom_site_fract_x
_atom_site_fract_y
_atom_site_fract_z
Tm1 0.000 0.244 0.000
Pd1 0.000 0.000 0.500
Pd2 0.144 0.500 0.115
Pd3 0.231 0.000 0.513
Au1 0.050 0.500 0.712
Au2 0.106 0.268 0.427
Au3 0.128 0.000 0.856
Au4 0.244 0.322 0.820

(4)
# MnBeRh, relaxed, DFT GGA-PBE
# Calculated volume (Å³/f.u.): 34.9
# M_tot (μB/f.u.): 0.3
# Energy relative to the lowest polymorph listed for this composition (eV per atom): 0.019
# Theoretical density (Mg/m³): 7.945
data_MnBeRh
_chemical_formula_sum 'Mn4 Be4 Rh4'
_cell_length_a 6.917
_cell_length_b 4.004
_cell_length_c 5.037
_cell_angle_alpha 90.00
_cell_angle_beta 90.08
_cell_angle_gamma 90.00
_space_group_name_H-M_alt 'C 1 m 1'
_space_group_IT_number 8
loop_
_space_group_symop_operation_xyz
'x,y,z'
'x,-y,z'
'x+1/2,y+1/2,z'
'x+1/2,-y+1/2,z'
loop_
_atom_site_label
_atom_site_fract_x
_atom_site_fract_y
_atom_site_fract_z
Mn1 0.000 0.000 0.000
Mn2 0.166 0.500 0.167
Be1 0.167 0.500 0.663
Be2 0.333 0.000 0.338
Rh1 0.333 0.000 0.821
Rh2 0.499 0.500 0.489

(5)
# Tb6Al2Pt, relaxed, DFT GGA-PBE
# Calculated volume (Å³/f.u.): 239.8
# M_tot (μB/f.u.): 0.0
# Energy (eV per cell): -90.224
# Theoretical density (Mg/m³): 8.329
data_Tb6Al2Pt
_chemical_formula_sum 'Tb12 Al4 Pt2'
_cell_length_a 9.805
_cell_length_b 9.805
_cell_length_c 4.988
_cell_angle_alpha 90.00
_cell_angle_beta 90.00
_cell_angle_gamma 90.00
_space_group_name_H-M_alt 'P 42/m n m'
_space_group_IT_number 136
_space_group_name_Hall '-P 4n 2n'
loop_
_atom_site_label
_atom_site_fract_x
_atom_site_fract_y
_atom_site_fract_z
Tb1 0.028 0.305 0.000
Tb2 0.117 0.883 0.500
Al1 0.209 0.209 0.500
Pt1 0.000 0.000 0.000

(6)
# InSi2HgPb, relaxed, DFT GGA-PBE
# Calculated volume (Å³/f.u.): 167.0
# M_tot (μB/f.u.): 0.0
# Energy (eV per cell): -12.484
# Theoretical density (Mg/m³): 5.756
data_InSi2HgPb
_chemical_formula_sum 'In1 Si2 Hg1 Pb1'
_cell_length_a 5.364
_cell_length_b 5.364
_cell_length_c 5.804
_cell_angle_alpha 90.00
_cell_angle_beta 90.00
_cell_angle_gamma 90.00
_space_group_name_H-M_alt 'P 4/m m m'
_space_group_IT_number 123
_space_group_name_Hall '-P 4 2'
loop_
_atom_site_label
_atom_site_fract_x
_atom_site_fract_y
_atom_site_fract_z
In1 0.000 0.000 0.000
Si1 0.000 0.500 0.500
Hg1 0.500 0.500 0.000
Pb1 0.500 0.500 0.500

(7)
# BaHgOs2, relaxed, DFT GGA-PBE
# Calculated volume (Å³/f.u.): 80.7
# M_tot (μB/f.u.): 0.0
# Energy (eV per cell): -57.601
# Theoretical density (Mg/m³): 14.789
data_BaHgOs2
_chemical_formula_sum 'Ba3 Hg3 Os6'
_cell_length_a 2.9948
_cell_length_b 2.9948
_cell_length_c 31.1533
_cell_angle_alpha 90.00
_cell_angle_beta 90.00
_cell_angle_gamma 120.00
_space_group_name_H-M_alt 'R -3 m'
_space_group_IT_number 166
_space_group_name_Hall '-R 3 2"'
loop_
_atom_site_label
_atom_site_fract_x
_atom_site_fract_y
_atom_site_fract_z
Ba1 0.0000 0.0000 0.0000
Hg1 0.0000 0.0000 0.5000
Os1 0.0000 0.0000 0.2402

(8)
# Ba2CdTe, relaxed, DFT GGA-PBE
# Calculated volume (Å³/f.u.): 188.0
# M_tot (μB/f.u.): 0.0
# Energy relative to the lowest polymorph listed for this composition (eV per atom): 0.191
# Theoretical density (Mg/m³): 4.547
data_Ba2CdTe
_chemical_formula_sum 'Ba8 Cd4 Te4'
_cell_length_a 9.221
_cell_length_b 9.221
_cell_length_c 8.843
_cell_angle_alpha 90.00
_cell_angle_beta 90.00
_cell_angle_gamma 90.00
_space_group_name_H-M_alt 'I -4 2 d'
_space_group_IT_number 122
_space_group_name_Hall 'I -4 2bw'
loop_
_atom_site_label
_atom_site_fract_x
_atom_site_fract_y
_atom_site_fract_z
Ba1 0.241 0.250 0.125
Cd1 0.000 0.000 0.500
Te1 0.000 0.000 0.000

(9)
# Ba3Br3O, relaxed, DFT GGA-PBE
# Calculated volume (Å³/f.u.): 299.0
# M_tot (μB/f.u.): 0.6
# Energy (eV per cell): -120.975
# Theoretical density (Mg/m³): 3.708
data_Ba3Br3O
_chemical_formula_sum 'Ba12 Br12 O4'
_cell_length_a 12.639
_cell_length_b 14.607
_cell_length_c 6.479
_cell_angle_alpha 90.00
_cell_angle_beta 90.00
_cell_angle_gamma 90.00
_space_group_name_H-M_alt 'C m c m'
_space_group_IT_number 63
_space_group_name_Hall '-C 2c 2'
loop_
_atom_site_label
_atom_site_fract_x
_atom_site_fract_y
_atom_site_fract_z
Ba1 0.000 0.132 0.250
Ba2 0.160 0.384 0.250
Br1 0.000 0.101 0.750
Br2 0.240 0.370 0.750
O1 0.000 0.298 0.250

(10)
# RbCd2HgPb, relaxed, DFT GGA-PBE
# Calculated volume (Å³/f.u.): 164.5
# M_tot (μB/f.u.): 0.0
# Energy (eV per cell): -14.577
# Theoretical density (Mg/m³): 7.250
data_RbCd2HgPb
_chemical_formula_sum 'Rb2 Cd4 Hg2 Pb2'
_cell_length_a 5.124
_cell_length_b 5.137
_cell_length_c 12.498
_cell_angle_alpha 90.00
_cell_angle_beta 90.00
_cell_angle_gamma 90.00
_space_group_name_H-M_alt 'I m m 2'
_space_group_IT_number 44
loop_
_space_group_symop_operation_xyz
'x,y,z'
'-x,-y,z'
'-x,y,z'
'x,-y,z'
'x+1/2,y+1/2,z+1/2'
'-x+1/2,-y+1/2,z+1/2'
'-x+1/2,y+1/2,z+1/2'
'x+1/2,-y+1/2,z+1/2'
loop_
_atom_site_label
_atom_site_fract_x
_atom_site_fract_y
_atom_site_fract_z
Rb1 0.000 0.000 0.000
Cd1 0.000 0.000 0.377
Cd2 0.000 0.500 0.249
Hg1 0.000 0.000 0.608
Pb1 0.000 0.500 0.748

(11)
# AlZn2HgC, relaxed, DFT GGA-PBE
# Calculated volume (Å³/f.u.): 128.0
# M_tot (μB/f.u.): 2.6
# Energy (eV per cell): -7.709
# Theoretical density (Mg/m³): 4.807
data_AlZn2HgC
_chemical_formula_sum 'Al1 Zn2 Hg1 C1'
_cell_length_a 4.928
_cell_length_b 4.928
_cell_length_c 5.268
_cell_angle_alpha 90.00
_cell_angle_beta 90.00
_cell_angle_gamma 90.00
_space_group_name_H-M_alt 'P 4/m m m'
_space_group_IT_number 123
_space_group_name_Hall '-P 4 2'
loop_
_atom_site_label
_atom_site_fract_x
_atom_site_fract_y
_atom_site_fract_z
Al1 0.000 0.000 0.000
Zn1 0.000 0.500 0.000
Hg1 0.000 0.000 0.500
C1 0.500 0.500 0.500

(12)
# NaSn3Pd2, relaxed, DFT GGA-PBE
# Calculated volume (Å³/f.u.): 131.3
# M_tot (μB/f.u.): 0.0
# Energy relative to the lowest polymorph listed for this composition (eV per atom): 0.112
# Theoretical density (Mg/m³): 7.486
data_NaSn3Pd2
_chemical_formula_sum 'Na6 Sn18 Pd12'
_cell_length_a 6.5982
_cell_length_b 6.5982
_cell_length_c 20.8969
_cell_angle_alpha 90.00
_cell_angle_beta 90.00
_cell_angle_gamma 120.00
_space_group_name_H-M_alt 'R -3 m'
_space_group_IT_number 166
_space_group_name_Hall '-R 3 2"'
loop_
_atom_site_label
_atom_site_fract_x
_atom_site_fract_y
_atom_site_fract_z
Na1 0.0000 0.0000 0.2232
Sn1 0.0078 0.5039 0.2361
Pd1 0.0000 0.0000 0.0000
Pd2 0.0000 0.5000 0.0000